No. 1
VASP calculation (GGA-PBE) on a relaxed Ba2VCoP crystal.

Cell: 6.0508 6.0508 4.1885 Å, 90.00 90.00 90.00°
Fractional positions:
Ba: 0.0000 0.5000 0.0000
Ba: 0.5000 0.0000 0.0000
V: 0.0000 0.0000 0.5000
Co: 0.5000 0.5000 0.0000
P: 0.5000 0.5000 0.5000

Properties
magnetization = 4.5 Bohr magnetons per cell
ΔH_f (0 K) = 283.4 meV/atom
volume = 153.4 Å³/f.u.
SG = P4/mmm, No. 123
density of states at the Fermi level = 4.66 states/eV/cell
VASP energy = -4.81 eV/atom

=====

No. 2
VASP calculation (GGA-PBE) on a relaxed Pm3Pa3MoN8 crystal.

Cell: 6.9710 6.9710 6.9710 Å, 59.30 59.30 59.30°
Fractional positions:
Pm: 0.0000 0.5000 0.5000
Pm: 0.5000 0.0000 0.5000
Pm: 0.5000 0.5000 0.0000
Pa: 0.0000 0.0000 0.5000
Pa: 0.0000 0.5000 0.0000
Pa: 0.5000 0.0000 0.0000
Mo: 0.5000 0.5000 0.5000
N: 0.2415 0.2415 0.2415
N: 0.2513 0.7259 0.7259
N: 0.2741 0.2741 0.7487
N: 0.2741 0.7487 0.2741
N: 0.7259 0.2513 0.7259
N: 0.7259 0.7259 0.2513
N: 0.7487 0.2741 0.2741
N: 0.7585 0.7585 0.7585

Properties
magnetization = 0.0 Bohr magnetons per cell
volume = 235.7 Å³/f.u.
raw formation energy = -1.31 eV per atom
SG = R-3m, No. 166
density of states at the Fermi level = 8.30 states/eV/cell
VASP energy = -9.32 eV/atom

=====

No. 3
VASP calculation (GGA-PBE) on a relaxed TaIr3 crystal.

Cell: 5.0223 5.0223 5.0223 Å, 90.00 90.00 90.00°
Fractional positions:
Ta: 0.0000 0.0000 0.0000
Ta: 0.5000 0.5000 0.5000
Ir: 0.0000 0.2500 0.5000
Ir: 0.0000 0.7500 0.5000
Ir: 0.2500 0.5000 0.0000
Ir: 0.5000 0.0000 0.2500
Ir: 0.5000 0.0000 0.7500
Ir: 0.7500 0.5000 0.0000

Properties
magnetization = 0.0 Bohr magnetons per cell
ΔH_f (0 K) = -98.1 meV/atom
volume = 63.3 Å³/f.u.
SG = Pm-3n, No. 223
density of states at the Fermi level = 11.25 states/eV/cell
VASP energy = -9.71 eV/atom

=====

No. 4
VASP calculation (GGA-PBE) on a relaxed K2PbF6 crystal.

Cell: 6.2621 7.9159 7.7986 Å, 90.00 117.63 90.00°
Fractional positions:
K: 0.1738 0.0472 0.3123
K: 0.1738 0.4528 0.8123
K: 0.8262 0.5472 0.1877
K: 0.8262 0.9528 0.6877
Pb: 0.5000 0.0000 0.0000
Pb: 0.5000 0.5000 0.5000
F: 0.1931 0.1398 0.9615
F: 0.1931 0.3602 0.4615
F: 0.2757 0.7136 0.4241
F: 0.2757 0.7864 0.9241
F: 0.4055 0.0326 0.7049
F: 0.4055 0.4674 0.2049
F: 0.5945 0.5326 0.7951
F: 0.5945 0.9674 0.2951
F: 0.7243 0.2136 0.0759
F: 0.7243 0.2864 0.5759
F: 0.8069 0.6398 0.5385
F: 0.8069 0.8602 0.0385

Properties
magnetization = 0.2 Bohr magnetons per cell
volume = 171.3 Å³/f.u.
raw formation energy = -2.43 eV per atom
SG = P2_1/c, No. 14
density of states at the Fermi level = 0.00 states/eV/cell
VASP energy = -4.33 eV/atom